(1)
# CdAg2F4

A geometry-optimized CdAg2F4 structure (PBE-GGA, the Alexandria database).

Values from the calculation:
Energy relative to the elements, uncorrected in eV per atom: -1.418
E_tot in eV per atom: -3.43
Energy above the most stable polymorph in this dataset in meV/atom: 42
DOS(E_F) in states/eV/atom: 0.084

Cell: 6.1433 9.1683 3.7187 Å, 90.00 90.00 90.00°
With the nearest neighbours (Å) after each atom.
Space group Cmmm (No. 65)
Inequivalent atoms, fractional coordinates:
Cd 0.0000 0.0000 0.0000  4 F 2.28
Ag 0.0000 0.3092 0.5000  6 F 2.47-2.48
F 0.2136 0.0000 0.5000  2 Cd 2.28, 2 Ag 2.48
F 0.2500 0.2500 0.0000  4 Ag 2.47, 2 Cd 2.76


(2)
# ZrBeCl

A geometry-optimized ZrBeCl structure (PBE-GGA, the Alexandria database).

Values from the calculation:
Energy relative to the elements, uncorrected in eV per atom: -0.238
E_tot in eV per atom: -4.94
Energy above the most stable polymorph in this dataset in meV/atom: 0
DOS(E_F) in states/eV/atom: 0.967

Cell: 3.2695 3.2695 6.9027 Å, 90.00 90.00 120.00°
With the nearest neighbours (Å) after each atom.
Space group P3m1 (No. 156)
Inequivalent atoms, fractional coordinates:
Zr 0.0000 0.0000 0.0000  3 Cl 2.62, 3 Be 2.67
Be 0.6667 0.3333 0.2736  3 Zr 2.67
Cl 0.3333 0.6667 0.7378  3 Zr 2.62


(3)
# Th4IrPt2Rh

A geometry-optimized Th4IrPt2Rh structure (PBE-GGA, the Alexandria database).

Values from the calculation:
E_tot in eV per atom: -8.35
Formation energy from the elements in eV/atom: -1.100
DOS(E_F) in states/eV/atom: 0.474

Cell: 7.1798 4.1575 7.2374 Å, 90.00 109.31 90.00°
With the nearest neighbours (Å) after each atom.
Space group P2/m (No. 10)
Inequivalent atoms, fractional coordinates:
Th 0.2460 0.0000 0.2404  2 Ir 2.90, 1 Rh 2.91, 3 Pt 2.97-2.99
Th 0.2522 0.5000 0.7591  1 Ir 2.90, 2 Rh 2.91, 3 Pt 2.98
Ir 0.0000 0.5000 0.0000  6 Th 2.90
Pt 0.0000 0.0000 0.5000  6 Th 2.97-2.98
Pt 0.5000 0.5000 0.5000  6 Th 2.98-2.99
Rh 0.5000 0.0000 0.0000  6 Th 2.91


(4)
# NdScW4

A geometry-optimized NdScW4 structure (PBE-GGA, the Alexandria database).

Values from the calculation:
E_tot in eV per atom: -10.27
Formation energy from the elements in eV/atom: 0.217
DOS(E_F) in states/eV/atom: 1.604

Cell: 7.8006 7.8006 7.8006 Å, 90.00 90.00 90.00°
With the nearest neighbours (Å) after each atom.
Space group F-43m (No. 216)
Inequivalent atoms, fractional coordinates:
Nd 0.0000 0.0000 0.0000  12 W 3.23, 4 Sc 3.38
Sc 0.2500 0.2500 0.2500  12 W 3.23, 4 Nd 3.38
W 0.1251 0.1251 0.6251  6 W 2.76


Please write out number 4 again, unchanged.
# NdScW4

A geometry-optimized NdScW4 structure (PBE-GGA, the Alexandria database).

Values from the calculation:
E_tot in eV per atom: -10.27
Formation energy from the elements in eV/atom: 0.217
DOS(E_F) in states/eV/atom: 1.604

Cell: 7.8006 7.8006 7.8006 Å, 90.00 90.00 90.00°
With the nearest neighbours (Å) after each atom.
Space group F-43m (No. 216)
Inequivalent atoms, fractional coordinates:
Nd 0.0000 0.0000 0.0000  12 W 3.23, 4 Sc 3.38
Sc 0.2500 0.2500 0.2500  12 W 3.23, 4 Nd 3.38
W 0.1251 0.1251 0.6251  6 W 2.76


> E_tot of number 1 (CdAg2F4)?

-3.43 eV per atom


> Number 3 is which compound?

Th4IrPt2Rh